No. 1
LaZrTe2: relaxed, PBE.

Computed properties:
Symmetry: Cm (8)
Formation energy (no corrections), eV per atom: -0.9385
Uncorrected energy, eV/atom: -5.88
M_tot, μB/f.u.: 0.0

a b c (Å): 5.9415 5.9415 5.2462
angles (deg): 83.43 83.43 37.61
Fractional coordinates of all 4 atoms:
La: 0.2591 0.2591 0.1557
Te: 0.7668 0.7668 0.6524
Te: 0.9868 0.9868 0.0900
Zr: 0.4873 0.4873 0.6019

***

No. 2
LaZrTe2: relaxed, PBE.

Computed properties:
Symmetry: R-3m (166)
Formation energy (no corrections), eV per atom: -0.6803
Uncorrected energy, eV/atom: -5.62
M_tot, μB/f.u.: 0.0

a b c (Å): 10.2746 10.2746 10.2746
angles (deg): 22.21 22.21 22.21
Fractional coordinates of all 4 atoms:
Te: 0.1058 0.1058 0.1058
Zr: 0.5000 0.5000 0.5000
La: 0.0000 0.0000 0.0000
Te: 0.8942 0.8942 0.8942

***

No. 3
LaZrTe4: relaxed, PBE.

Computed properties:
Symmetry: F-43m (216)
Formation energy (no corrections), eV per atom: 0.1641
Uncorrected energy, eV/atom: -4.18
M_tot, μB/f.u.: 3.1

a b c (Å): 6.3458 6.3458 6.3458
angles (deg): 60.00 60.00 60.00
Fractional coordinates of all 6 atoms:
Te: 0.3753 0.3753 0.8741
Te: 0.3753 0.3753 0.3753
Zr: 0.7500 0.7500 0.7500
Te: 0.3753 0.8741 0.3753
La: 0.0000 0.0000 0.0000
Te: 0.8741 0.3753 0.3753

***

No. 4
La2ZrTe: relaxed, PBE.

Computed properties:
Symmetry: I-4m2 (119)
Formation energy (no corrections), eV per atom: -0.3581
Uncorrected energy, eV/atom: -5.74
M_tot, μB/f.u.: 0.0

a b c (Å): 6.1249 6.1249 6.1249
angles (deg): 134.84 134.84 65.78
Fractional coordinates of all 4 atoms:
La: 0.2500 0.7500 0.5000
Te: 0.5000 0.5000 0.0000
La: 0.0000 0.0000 0.0000
Zr: 0.7500 0.2500 0.5000

***

No. 5
LaZrTe2: relaxed, PBE.

Computed properties:
Symmetry: I-42d (122)
Formation energy (no corrections), eV per atom: -0.5609
Uncorrected energy, eV/atom: -5.50
M_tot, μB/f.u.: 0.7

a b c (Å): 6.7336 6.7336 8.5548
angles (deg): 66.82 66.82 90.00
Fractional coordinates of all 8 atoms:
Te: 0.3750 0.4155 0.7500
Te: 0.8750 0.8345 0.7500
La: 0.0000 0.0000 0.0000
Zr: 0.2500 0.7500 0.5000
Zr: 0.5000 0.5000 0.0000
Te: 0.1655 0.6250 0.2500
Te: 0.5845 0.1250 0.2500
La: 0.7500 0.2500 0.5000

***

No. 6
LaZr3Te: relaxed, PBE.

Computed properties:
Symmetry: Pm-3m (221)
Formation energy (no corrections), eV per atom: 0.2880
Uncorrected energy, eV/atom: -6.45
M_tot, μB/f.u.: 0.7

a b c (Å): 5.3760 5.3760 5.3760
angles (deg): 90.00 90.00 90.00
Fractional coordinates of all 5 atoms:
Zr: 0.0000 0.0000 0.5000
Zr: 0.5000 0.0000 0.0000
Zr: 0.0000 0.5000 0.0000
Te: 0.0000 0.0000 0.0000
La: 0.5000 0.5000 0.5000

***

No. 7
LaZrTe2: relaxed, PBE.

Computed properties:
Symmetry: I-4m2 (119)
Formation energy (no corrections), eV per atom: -0.6705
Uncorrected energy, eV/atom: -5.61
M_tot, μB/f.u.: 2.4

a b c (Å): 6.7266 6.7266 6.7266
angles (deg): 141.72 141.72 55.24
Fractional coordinates of all 4 atoms:
La: 0.7500 0.2500 0.5000
Zr: 0.5000 0.5000 0.0000
Te: 0.0000 0.0000 0.0000
Te: 0.2500 0.7500 0.5000

***

No. 8
La2ZrTe: relaxed, PBE.

Computed properties:
Symmetry: Pm (6)
Formation energy (no corrections), eV per atom: -0.5476
Uncorrected energy, eV/atom: -5.93
M_tot, μB/f.u.: 0.0

a b c (Å): 4.9352 4.1412 6.3494
angles (deg): 71.37 90.00 90.00
Fractional coordinates of all 4 atoms:
Zr: 0.5000 0.5506 0.7799
La: 0.5000 0.2694 0.3303
Te: 0.0000 0.6967 0.4775
La: 0.0000 0.9834 0.9124

***

Q: Look up the M_tot of the third one.
A: 3.1 μB/f.u.